DFT (PBE+U) results for a relaxed structure of Rb2FeAgO4.

The space group is I-4, No. 82. The calculation puts the total energy at -4.74 eV per atom.

Geometry as extended XYZ:
```
8
Lattice="5.819 0.044 0.068 -2.440 5.283 -0.068 -2.440 -2.188 4.809" Properties=species:S:1:pos:R:3 pbc="T T T"
Rb 0.470 3.438 1.185
Rb 0.000 0.000 0.000
Fe -2.440 1.548 2.371
Ag 0.470 -0.298 3.624
O 1.595 1.190 2.524
O -1.462 0.035 2.704
O 3.777 2.232 0.769
O -2.030 2.821 3.622
```